No. 1
Density functional theory data (PBE) for a relaxed Er2Tl3GeTe6 crystal.

Output
total magnetic moment: 0.00 μB per cell
formation energy (no corrections): -720 meV/atom
N(E_F): 0.5535 states/eV/atom
theoretical density: 7.39 g cm⁻³

abc: 4.3606 9.4810 10.4364
angles: 107.69 102.06 90.00
Sites, in units of the cell vectors:
Er 0.8339 0.6647 0.6677
Er 0.1661 0.3353 0.3323
Tl 0.5000 0.5000 0.0000
Tl 0.8323 0.1587 0.6646
Tl 0.1677 0.8413 0.3354
Ge 0.5000 0.0000 0.0000
Te 0.3439 0.8948 0.6878
Te 0.6749 0.5677 0.3499
Te 0.6561 0.1052 0.3122
Te 0.0082 0.2266 0.0163
Te 0.9918 0.7734 0.9837
Te 0.3251 0.4323 0.6501



No. 2
Density functional theory data (PBE) for a relaxed Na2Nd2BiO6 crystal.

Output
total magnetic moment: 0.83 μB per cell
formation energy (no corrections): -2129 meV/atom
N(E_F): 0.3423 states/eV/atom
theoretical density: 5.60 g cm⁻³

abc: 6.1979 6.1979 5.9634
angles: 98.24 98.24 120.27
Sites, in units of the cell vectors:
Na 0.8463 0.1537 0.0000
Na 0.1537 0.8463 0.0000
Nd 0.3356 0.6644 0.5000
Nd 0.6644 0.3356 0.5000
Bi 0.0000 0.0000 0.5000
O 0.7520 0.7520 0.7112
O 0.0447 0.3789 0.7032
O 0.2480 0.2480 0.2888
O 0.3789 0.0447 0.7032
O 0.9553 0.6211 0.2968
O 0.6211 0.9553 0.2968



No. 3
Density functional theory data (PBE) for a relaxed La2ErPb crystal.

Output
total magnetic moment: 0.02 μB per cell
formation energy from the elements: -326 meV per atom
N(E_F): 1.2840 states/eV/atom
theoretical density: 8.39 g cm⁻³
offset from the most stable computed form: 7 meV per atom

abc: 6.8850 7.0341 7.0341
angles: 72.35 60.70 60.70
Sites, in units of the cell vectors:
La 0.2005 0.2995 0.7995
La 0.2995 0.7005 0.2005
La 0.7995 0.7005 0.2005
La 0.7005 0.2995 0.7995
Er 0.7500 0.1847 0.3153
Er 0.2500 0.8153 0.6847
Pb 0.2500 0.2000 0.3000
Pb 0.7500 0.8000 0.7000



No. 4
Density functional theory data (PBE) for a relaxed BeAlSe2 crystal.

Output
total magnetic moment: 0.00 μB per cell
formation energy (no corrections): -408 meV/atom
N(E_F): 0.4784 states/eV/atom
theoretical density: 3.85 g cm⁻³
offset from the most stable computed form: 0 meV per atom

abc: 5.9658 5.9658 6.3128
angles: 61.80 61.80 90.00
Sites, in units of the cell vectors:
Be 0.5000 0.5000 0.0000
Be 0.2500 0.7500 0.5000
Al 0.0000 0.0000 0.0000
Al 0.7500 0.2500 0.5000
Se 0.5779 0.1250 0.2500
Se 0.1721 0.6250 0.2500
Se 0.3750 0.4221 0.7500
Se 0.8750 0.8279 0.7500